(1)
Computed, not measured: a relaxed FeSbW crystal at the PBE level of DFT.

Computed properties:
Energy above the most stable polymorph in this dataset   251 meV/atom
Density   12.490 g/cm3
Space-group type   I4mm, No. 107
Crystal system   tetragonal
ΔE_f (raw)   0.508 eV/atom

a b c (Å): 5.588 5.589 3.053
angles (deg): 74.12 74.17 31.71
Fractional positions:
W  0.650  0.650  0.350
Sb  0.344  0.344  0.656
Fe  0.006  0.006  0.994

***

(2)
Computed, not measured: a relaxed TcSbAs crystal at the PBE level of DFT.

Computed properties:
Energy above the most stable polymorph in this dataset   0 meV/atom
Density   8.129 g/cm3
Space-group type   P2_1/c, No. 14
Crystal system   monoclinic
ΔE_f (raw)   -0.111 eV/atom

a b c (Å): 6.587 6.698 6.666
angles (deg): 125.04 90.00 90.00
Fractional positions:
Sb  0.866  0.840  0.163
Sb  0.634  0.340  0.163
Sb  0.134  0.160  0.837
Sb  0.366  0.660  0.837
As  0.364  0.158  0.338
As  0.864  0.342  0.662
As  0.136  0.658  0.338
As  0.636  0.842  0.662
Tc  0.488  0.774  0.277
Tc  0.988  0.726  0.723
Tc  0.012  0.274  0.277
Tc  0.512  0.226  0.723

***

(3)
Computed, not measured: a relaxed CrBi2Br crystal at the PBE level of DFT.

Computed properties:
Energy above the most stable polymorph in this dataset   8 meV/atom
Density   6.263 g/cm3
Space-group type   I-42d, No. 122
Crystal system   tetragonal
ΔE_f (raw)   0.455 eV/atom

a b c (Å): 6.039 6.039 9.064
angles (deg): 70.54 70.54 90.00
Fractional positions:
Cr  0.500  0.500  0.000
Cr  0.250  0.750  0.500
Bi  0.875  0.789  0.750
Bi  0.539  0.125  0.250
Bi  0.211  0.625  0.250
Bi  0.375  0.461  0.750
Br  0.750  0.250  0.500
Br  0.000  0.000  0.000

***

(4)
Computed, not measured: a relaxed Nd7SmTm3 crystal at the PBE level of DFT.

Computed properties:
Energy above the most stable polymorph in this dataset   13 meV/atom
Density   7.094 g/cm3
Space-group type   P3m1, No. 156
Crystal system   trigonal

a b c (Å): 8.666 7.210 7.210
angles (deg): 120.00 90.00 90.00
Fractional positions:
Nd  0.125  0.667  0.333
Nd  0.107  0.167  0.334
Nd  0.460  0.334  0.167
Nd  0.460  0.833  0.167
Nd  0.460  0.833  0.666
Nd  0.107  0.167  0.833
Nd  0.107  0.666  0.833
Tm  0.783  0.500  0.500
Tm  0.783  0.500  0.999
Tm  0.783  0.001  0.500
Sm  0.442  0.333  0.667

***

(5)
Computed, not measured: a relaxed MnAl4Ga2 crystal at the PBE level of DFT.

Computed properties:
Density   4.033 g/cm3
Space-group type   I4/mmm, No. 139
Crystal system   tetragonal
DFT total energy   -4.08 eV/atom

a b c (Å): 7.082 7.082 5.589
angles (deg): 129.32 129.32 90.00
Fractional positions:
Al  0.806  0.194  0.000
Al  0.806  0.806  0.000
Al  0.194  0.194  0.000
Al  0.194  0.806  0.000
Ga  0.250  0.750  0.500
Ga  0.750  0.250  0.500
Mn  0.500  0.500  0.000

***

(6)
Computed, not measured: a relaxed CaThRuN3 crystal at the PBE level of DFT.

Computed properties:
Density   6.414 g/cm3
Space-group type   P2_1/m, No. 11
Crystal system   monoclinic
ΔE_f (raw)   -0.782 eV/atom

a b c (Å): 3.541 7.194 8.513
angles (deg): 97.52 90.00 90.00
Fractional positions:
N  0.250  0.838  0.425
N  0.750  0.162  0.575
N  0.750  0.409  0.116
N  0.250  0.591  0.884
N  0.750  0.887  0.150
N  0.250  0.113  0.850
Th  0.750  0.362  0.833
Th  0.250  0.638  0.167
Ru  0.750  0.962  0.388
Ru  0.250  0.038  0.612
Ca  0.750  0.846  0.861
Ca  0.250  0.154  0.139

***

(7)
Computed, not measured: a relaxed Cs3BiCl6 crystal at the PBE level of DFT.

Computed properties:
Energy above the most stable polymorph in this dataset   16 meV/atom
Density   3.286 g/cm3
Space-group type   C2/m, No. 12
Crystal system   monoclinic
ΔE_f (raw)   -1.646 eV/atom

a b c (Å): 8.501 8.150 8.150
angles (deg): 60.73 62.22 62.22
Fractional positions:
Cl  0.351  0.666  0.199
Cl  0.822  0.288  0.288
Cl  0.178  0.712  0.712
Cl  0.649  0.334  0.801
Cl  0.649  0.801  0.334
Cl  0.351  0.199  0.666
Cs  0.000  0.000  0.000
Cs  0.723  0.758  0.758
Cs  0.277  0.242  0.242
Bi  0.500  0.500  0.500

***

(8)
Computed, not measured: a relaxed Ac2TlPb3Se6 crystal at the PBE level of DFT.

Computed properties:
Density   7.547 g/cm3
Space-group type   C2/m, No. 12
Crystal system   monoclinic
ΔE_f (raw)   -1.040 eV/atom

a b c (Å): 4.680 8.714 9.935
angles (deg): 101.19 103.62 90.00
Fractional positions:
Se  0.332  0.430  0.664
Se  0.676  0.084  0.353
Se  0.995  0.734  0.991
Se  0.668  0.570  0.336
Se  0.324  0.916  0.647
Se  0.005  0.266  0.009
Pb  0.500  0.500  0.000
Pb  0.840  0.153  0.679
Pb  0.160  0.847  0.321
Ac  0.165  0.323  0.329
Ac  0.835  0.677  0.671
Tl  0.500  0.000  0.000

***

(9)
Computed, not measured: a relaxed TePb crystal at the PBE level of DFT.

Computed properties:
Density   8.190 g/cm3
Space-group type   P6_3/mmc, No. 194
Crystal system   hexagonal
ΔE_f (raw)   0.100 eV/atom

a b c (Å): 5.596 5.596 10.012
angles (deg): 90.00 90.00 120.00
Fractional positions:
Te  0.667  0.333  0.898
Te  0.333  0.667  0.398
Te  0.667  0.333  0.602
Te  0.333  0.667  0.102
Pb  0.333  0.667  0.750
Pb  0.000  0.000  0.750
Pb  0.667  0.333  0.250
Pb  0.000  0.000  0.250

***

(10)
Computed, not measured: a relaxed PmTmCBr crystal at the PBE level of DFT.

Computed properties:
Density   7.897 g/cm3
Space-group type   R3m, No. 160
Crystal system   trigonal
ΔE_f (raw)   -0.929 eV/atom

a b c (Å): 3.695 3.695 7.526
angles (deg): 90.00 104.21 120.00
Fractional positions:
Br  0.958  0.377  0.350
Pm  0.515  0.155  0.686
C  0.316  0.556  0.887
Tm  0.089  0.942  0.046